No. 1
Entry from OQMD: a relaxed structure of LiNdP4O12 (PBE).

Properties
- energy relative to the lowest polymorph listed for this composition (eV/f.u.) = 1.377

Cell: 16.3638 6.9549 9.8484 Å, 90.00 126.59 90.00°
Last column: nearest neighbours and their distance in Å.
Space group C2/c (No. 15)
Inequivalent atoms, fractional coordinates:
Li1 0.0000 0.0000 0.0000 x4  4 O 2.01-2.03
Nd1 0.0000 0.2191 0.2500 x4  8 O 2.38-2.55
P1 0.1331 0.4328 0.6616 x8  4 O 1.49-1.62
P2 0.1522 0.1735 0.0878 x8  4 O 1.50-1.60
O1 0.0598 0.4976 0.1931 x8  1 P 1.49
O2 0.0769 0.0949 0.9133 x8  1 P 1.50
O3 0.1075 0.2588 0.5525 x8  1 P 1.50
O4 0.1255 0.1228 0.2069 x8  1 P 1.52
O5 0.1646 0.4015 0.0854 x8  2 P 1.60-1.62
O6 0.2377 0.3983 0.8464 x8  2 P 1.59-1.61



No. 2
Entry from OQMD: a relaxed structure of LiNdP4O12 (PBE).

Properties
- energy relative to the lowest polymorph listed for this composition (eV/f.u.) = 0.000

Cell: 16.3168 6.9887 9.6730 Å, 90.00 126.03 90.00°
Last column: nearest neighbours and their distance in Å.
Space group C2/c (No. 15)
Inequivalent atoms, fractional coordinates:
Li1 0.0000 0.2019 0.2500 x4  4 O 1.93-1.95
Nd1 0.0000 0.2980 0.7500 x4  8 O 2.39-2.52
P1 0.1384 0.0587 0.1639 x8  4 O 1.49-1.61
P2 0.1497 0.3444 0.5961 x8  4 O 1.49-1.61
O1 0.0626 0.0037 0.1984 x8  1 P 1.51
O2 0.0719 0.4047 0.4147 x8  1 P 1.50
O3 0.1174 0.2277 0.0533 x8  1 P 1.49
O4 0.1337 0.3879 0.7299 x8  1 P 1.49
O5 0.1613 0.1166 0.5849 x8  2 P 1.60-1.61
O6 0.2429 0.0822 0.3512 x8  2 P 1.60-1.61



No. 3
Entry from OQMD: a relaxed structure of LiNdPO (PBE).

Properties
- energy relative to the lowest polymorph listed for this composition (eV/f.u.) = 0.126

Cell: 4.0472 6.6193 4.9099 Å, 90.00 90.00 90.00°
Last column: nearest neighbours and their distance in Å.
Space group Pmc2_1 (No. 26)
Inequivalent atoms, fractional coordinates:
Li1 0.0000 0.1859 0.0000 x2  2 O 2.08
Nd1 0.5000 0.2334 0.5006 x2  1 O 2.29
P1 0.0000 0.5000 0.2499 x2  2 Li 2.41, 2 P 2.45
O1 0.5000 0.1129 0.0021 x2  2 Li 2.08, 1 Nd 2.29



No. 4
Entry from OQMD: a relaxed structure of Li2PrNdSe2O2 (PBE).

Properties
- E (eV per formula unit) = -49.02

Cell: 4.0389 4.0389 9.0161 Å, 90.00 90.00 90.00°
Last column: nearest neighbours and their distance in Å.
Space group P4mm (No. 99)
Inequivalent atoms, fractional coordinates:
Li1 0.0000 0.5000 0.0000 x2  4 Se 2.54-2.55
Pr1 0.0000 0.0000 0.6332 x1  4 O 2.36
Nd1 0.5000 0.5000 0.3671 x1  4 O 2.34
Se1 0.0000 0.0000 0.1717 x1  4 Li 2.54
Se2 0.5000 0.5000 0.8274 x1  4 Li 2.55
O1 0.0000 0.5000 0.4982 x2  2 Nd 2.34, 2 Pr 2.36



No. 5
Entry from OQMD: a relaxed structure of LiNdSO (PBE).

Properties
- energy relative to the lowest polymorph listed for this composition (eV/f.u.) = 0.789

Cell: 5.7580 9.2676 5.6605 Å, 90.00 90.00 90.00°
Last column: nearest neighbours and their distance in Å.
Space group Pca2_1 (No. 29)
Inequivalent atoms, fractional coordinates:
Li1 0.1246 0.0440 0.0000 x4  3 O 1.93-1.99
Nd1 0.0059 0.3087 0.6045 x4  1 O 2.09
S1 0.0104 0.6467 0.6050 x4  5 Nd 2.86-3.13, 1 Li 3.03
O1 0.0790 0.0901 0.6593 x4  3 Li 1.93-1.99, 1 Nd 2.09



No. 6
Entry from OQMD: a relaxed structure of LiNdSO (PBE).

Properties
- energy relative to the lowest polymorph listed for this composition (eV/f.u.) = 0.001

Cell: 5.5797 5.5858 8.6489 Å, 90.00 90.27 90.00°
Last column: nearest neighbours and their distance in Å.
Space group C2 (No. 5)
Inequivalent atoms, fractional coordinates:
Li1 0.0000 0.0000 0.0000 x2  4 S 2.43
Li2 0.0000 0.4992 0.0000 x2  4 S 2.43-2.44
Nd1 0.2492 0.7534 0.3587 x4  4 O 2.32
S1 0.2490 0.7499 0.8353 x4  4 Li 2.43-2.44
O1 0.0000 0.0030 0.5000 x2  4 Nd 2.32
O2 0.0000 0.5035 0.5000 x2  4 Nd 2.32



No. 7
Entry from OQMD: a relaxed structure of LiNdSO (PBE).

Properties
- energy relative to the lowest polymorph listed for this composition (eV/f.u.) = 0.423

Cell: 4.4170 4.1237 6.8465 Å, 90.00 90.00 90.00°
Last column: nearest neighbours and their distance in Å.
Space group Pmc2_1 (No. 26)
Inequivalent atoms, fractional coordinates:
Li1 0.0000 0.2334 0.0000 x2  2 O 2.21, 3 S 2.33-2.34
Nd1 0.5000 0.2634 0.3421 x2  3 O 2.32-2.35
S1 0.0000 0.2664 0.6603 x2  3 Li 2.33-2.34
O1 0.5000 0.2349 0.0036 x2  2 Li 2.21, 3 Nd 2.32-2.35



No. 8
Entry from OQMD: a relaxed structure of LiNdSO (PBE).

Properties
- energy relative to the lowest polymorph listed for this composition (eV/f.u.) = 0.370

Cell: 5.8174 6.7746 6.3818 Å, 90.00 96.07 90.00°
Last column: nearest neighbours and their distance in Å.
Space group P2_1/c (No. 14)
Inequivalent atoms, fractional coordinates:
Li1 0.1037 0.2051 0.0266 x4  1 O 1.93
Nd1 0.3762 0.5615 0.2329 x4  3 O 2.31-2.52
S1 0.1190 0.5798 0.7737 x4  3 Li 2.36-2.49
O1 0.4274 0.2252 0.9862 x4  1 Li 1.93



No. 9
Entry from OQMD: a relaxed structure of LiNdSeO (PBE).

Properties
- energy relative to the lowest polymorph listed for this composition (eV/f.u.) = 0.479

Cell: 5.9556 7.3443 6.5717 Å, 90.00 97.32 90.00°
Last column: nearest neighbours and their distance in Å.
Space group P2_1/c (No. 14)
Inequivalent atoms, fractional coordinates:
Li1 0.1234 0.2390 0.4834 x4  1 O 1.92
Nd1 0.3869 0.5968 0.7596 x4  3 O 2.27-2.40
Se1 0.1260 0.5591 0.2836 x4  3 Li 2.52-2.71
O1 0.4295 0.1904 0.4350 x4  1 Li 1.92